Entry 1:
A plane-wave DFT calculation with PBEsol was carried out for SbRu2Cl after structural relaxation.

Unit cell a=3.083 b=5.349 c=8.122 alpha=90.00 beta=90.00 gamma=90.00
Space group Cmmm (No. 65)
Asymmetric unit:
Sb 0.000 0.000 0.000 [2 per cell]
Ru 0.000 0.500 0.248 [4 per cell]
Cl 0.000 0.000 0.500 [2 per cell]

Values from the calculation:
Formation energy (no corrections) ... 13.6 kcal/mol of atoms
Excess energy over the best structure of this formula in the dataset ... 0.2986 eV/atom
Magnetization ... 0.0 μB/cell
V ... 16.74 A^3/atom

***

Entry 2:
A plane-wave DFT calculation with PBEsol was carried out for ScRuCl2 after structural relaxation.

Unit cell a=3.811 b=3.339 c=6.505 alpha=90.00 beta=95.58 gamma=90.00
Space group Pm (No. 6)
Asymmetric unit:
Sc 0.000 0.000 0.000 [1 per cell]
Ru 0.456 0.500 0.870 [1 per cell]
Cl 0.235 0.000 0.618 [1 per cell]
Cl 0.691 0.500 0.223 [1 per cell]

Values from the calculation:
Formation energy (no corrections) ... -16.7 kcal/mol of atoms
Excess energy over the best structure of this formula in the dataset ... 0.0000 eV/atom
Magnetization ... 1.0 μB/cell
V ... 20.60 A^3/atom

***

Entry 3:
A plane-wave DFT calculation with PBEsol was carried out for ScRuCl2 after structural relaxation.

Unit cell a=2.977 b=2.977 c=9.099 alpha=90.00 beta=90.00 gamma=90.00
Space group P4/mmm (No. 123)
Asymmetric unit:
Sc 0.000 0.000 0.000 [1 per cell]
Ru 0.000 0.000 0.500 [1 per cell]
Cl 0.500 0.500 0.169 [2 per cell]

Values from the calculation:
Formation energy (no corrections) ... -3.7 kcal/mol of atoms
Excess energy over the best structure of this formula in the dataset ... 0.5612 eV/atom
Magnetization ... 2.6 μB/cell
V ... 20.16 A^3/atom

***

Entry 4:
A plane-wave DFT calculation with PBEsol was carried out for ScRu2Cl after structural relaxation.

Unit cell a=2.9432 b=2.9432 c=24.5528 alpha=90.00 beta=90.00 gamma=120.00
Space group R-3m (No. 166, hexagonal axes)
Asymmetric unit:
Sc 0.0000 0.0000 0.0000 [3 per cell]
Ru 0.0000 0.0000 0.2464 [6 per cell]
Cl 0.0000 0.0000 0.5000 [3 per cell]

Values from the calculation:
Formation energy (no corrections) ... 5.7 kcal/mol of atoms
Magnetization ... 0.0 μB/cell
V ... 15.35 A^3/atom